5
Lattice="-3.6340 1.9436 -2.3603 -1.4194 -4.3195 -1.3715 -2.7081 -0.3440 3.8862" Properties=species:S:1:pos:R:3 comment="Sc3CuNi | Alexandria via LeMat-Bulk | SCAN | PBEsol geometry" ef_mev_per_atom=127 spacegroup="Pm-3m, No. 221" pbc="T T T"
Sc -0.7097 -2.1598 -0.6858
Sc -1.8170 0.9718 -1.1801
Sc -1.3540 -0.1720 1.9431
Ni 0.0000 0.0000 0.0000
Cu -3.8808 -1.3600 0.0772



4
Lattice="3.6218 0.0000 0.0000 0.0000 3.6218 0.0000 -1.8109 -1.8109 3.8303" Properties=species:S:1:pos:R:3 comment="ScCuNi2 | Alexandria via LeMat-Bulk | SCAN | PBEsol geometry" ef_mev_per_atom=-293 spacegroup="I-4m2, No. 119" pbc="T T T"
Ni 0.0000 1.8109 1.9151
Ni 1.8109 1.8109 0.0000
Sc 0.0000 0.0000 0.0000
Cu 1.8109 0.0000 1.9151



32
Lattice="-5.6854 2.3050 0.7593 -0.3042 -5.3418 -3.0962 -0.8666 -5.0166 8.7402" Properties=species:S:1:pos:R:3 comment="ScCuNi6 | Alexandria via LeMat-Bulk | SCAN | PBEsol geometry" ef_mev_per_atom=-136 spacegroup="Cmmm, No. 65" pbc="T T T"
Sc -4.8019 -2.0745 4.1860
Sc -0.2145 -1.2418 2.1636
Sc -0.6521 -3.7748 6.5766
Sc -2.0543 -5.9789 2.2173
Ni -5.2318 -1.8768 -0.1905
Ni -1.4420 -4.8880 4.4324
Ni 0.0000 0.0000 0.0000
Ni -4.3223 -6.3483 3.3086
Ni -5.4141 -3.1655 1.9709
Ni -4.0960 -5.0385 1.0265
Ni -2.5339 -1.7051 3.0947
Ni -4.5295 -0.8485 1.8945
Ni -1.2158 -3.5781 2.1503
Ni -1.8792 -4.6145 -0.0043
Ni -2.9992 -4.2230 7.5788
Ni -2.3408 -0.4111 0.9375
Ni -5.8902 -5.6887 6.4508
Ni -2.3267 -7.2049 4.5088
Ni -3.8569 -3.8305 -1.1755
Ni -1.6244 -6.1766 6.5938
Ni -2.7601 -3.0150 5.3768
Ni -0.4333 -2.5083 4.3701
Ni -4.5154 -7.6424 5.4658
Ni -2.9948 -1.5184 -1.1685
Ni -5.6404 -4.4753 4.2530
Ni -0.9659 -2.3647 -0.0475
Ni -3.4281 -4.0267 3.2017
Ni -4.9769 -3.4389 6.4076
Cu -1.6025 -3.4969 -2.1660
Cu -4.3872 0.4601 -0.1709
Cu -3.2072 -2.7480 0.9737
Cu -3.6490 -5.3055 5.4296



4
Lattice="-2.7013 -0.2110 -1.6428 -2.0294 -1.7765 3.5652 -1.1589 4.0929 1.3798" Properties=species:S:1:pos:R:3 comment="Sc2CuNi | Alexandria via LeMat-Bulk | SCAN | PBEsol geometry" ef_mev_per_atom=-431 spacegroup="Pmm2, No. 25" pbc="T T T"
Cu -2.0728 2.4450 0.0384
Ni -2.5126 -0.4737 1.1365
Sc -1.7396 1.6717 2.6456
Sc -0.1441 0.5088 0.1715



3
Lattice="-1.2393 -3.7278 0.2855 2.5847 -2.9603 -0.2634 0.8858 -2.1309 3.1919" Properties=species:S:1:pos:R:3 comment="CuNiSe | Alexandria via LeMat-Bulk | SCAN | PBEsol geometry" e_form_raw_ev_per_atom=0.096 de_polymorph_kcal_per_mol_atoms=0.00 spacegroup="F-43m, No. 216" pbc="T T T"
Se 0.5578 -2.2047 0.8035
Ni 1.1156 -4.4095 1.6070
Cu 0.0000 0.0000 0.0000



5
Lattice="-0.9309 -4.0698 2.0547 -0.3825 -2.0200 -4.1743 4.5430 -1.0040 0.0696" Properties=species:S:1:pos:R:3 comment="CuNiSe3 | Alexandria via LeMat-Bulk | SCAN | PBEsol geometry" e_form_raw_ev_per_atom=0.888 spacegroup="Pm-3m, No. 221" pbc="T T T"
Se -0.4655 -2.0349 1.0273
Se -0.1912 -1.0100 -2.0872
Se 2.2715 -0.5020 0.0348
Cu 0.0000 0.0000 0.0000
Ni 1.6148 -3.5469 -1.0250



4
Lattice="2.8394 0.0000 0.0000 1.4197 2.4590 0.0000 1.4197 0.8197 7.2118" Properties=species:S:1:pos:R:3 comment="CuNi2Se | Alexandria via LeMat-Bulk | SCAN | PBEsol geometry" e_form_raw_ev_per_atom=0.272 spacegroup="R-3m, No. 166" pbc="T T T"
Se 2.8394 1.6393 3.6059
Ni 4.2591 2.4590 5.3691
Ni 1.4197 0.8197 1.8427
Cu 0.0000 0.0000 0.0000



4
Lattice="3.5640 0.0000 0.0000 0.0000 3.5640 0.0000 0.0000 0.0000 3.8994" Properties=species:S:1:pos:R:3 comment="Cu2NiSe | Alexandria via LeMat-Bulk | SCAN | PBEsol geometry" e_form_raw_ev_per_atom=0.123 spacegroup="P4/mmm, No. 123" pbc="T T T"
Cu 1.7820 0.0000 0.0000
Cu 0.0000 1.7820 0.0000
Ni 0.0000 0.0000 1.9497
Se 1.7820 1.7820 1.9497



8
Lattice="5.5392 0.0000 0.0000 0.0000 5.5392 0.0000 -2.7696 -2.7696 5.5937" Properties=species:S:1:pos:R:3 comment="Cu2NiSnSe4 | Alexandria via LeMat-Bulk | SCAN | PBEsol geometry" e_form_raw_ev_per_atom=-0.258 spacegroup="I-4, No. 82" pbc="T T T"
Se 4.2288 4.0094 1.2599
Se 1.2398 -1.4592 4.3338
Se 1.3103 1.5298 1.2599
Se -1.2398 1.4592 4.3338
Cu 0.0000 2.7696 2.7968
Cu 0.0000 0.0000 0.0000
Sn 2.7696 0.0000 2.7968
Ni 2.7696 2.7696 0.0000



5
Lattice="-1.0217 -3.1811 -2.9784 0.6754 -3.1378 3.1197 -4.5590 0.2782 1.2668" Properties=species:S:1:pos:R:3 comment="TlCu2NiSe | Alexandria via LeMat-Bulk | SCAN | PBEsol geometry" e_form_raw_ev_per_atom=0.700 spacegroup="P4/mmm, No. 123" pbc="T T T"
Cu 0.3377 -1.5689 1.5598
Cu -0.5109 -1.5906 -1.4892
Tl -2.2795 0.1391 0.6334
Ni 0.0000 0.0000 0.0000
Se -2.4527 -3.0203 0.7041



32
Lattice="-3.1424 -2.0041 -4.7139 -1.3891 -3.2343 4.8705 -7.2259 6.3145 2.1323" Properties=species:S:1:pos:R:3 comment="CuSiNi6 | Alexandria via LeMat-Bulk | SCAN | PBEsol geometry" e_form_raw_ev_per_atom=-0.193 spacegroup="Cmmm, No. 65" pbc="T T T"
Ni -3.6547 -1.3295 3.0298
Ni -9.9439 1.7216 0.7870
Ni -3.6200 0.9319 2.0438
Ni -5.9155 -1.7217 2.1232
Ni -7.2103 4.0705 3.0944
Ni -2.2657 -2.6192 0.0783
Ni -2.2502 -0.3392 -0.8849
Ni -7.2205 1.7866 4.0820
Ni -4.1105 -3.3008 1.5812
Ni -9.5073 1.4153 3.1738
Ni -5.8420 2.7978 0.1657
Ni -6.3552 -1.4132 -0.2809
Ni -3.6130 3.1573 1.0661
Ni -4.5369 -0.7105 -1.7931
Ni -4.0598 1.2404 -0.3602
Ni -4.5471 -2.9944 -0.8055
Ni -8.1374 0.1442 0.2450
Ni -8.1027 2.4056 -0.7409
Ni -1.8136 -0.6455 1.5019
Ni -5.4022 2.4893 2.5697
Ni -5.8787 0.5381 1.1444
Ni -7.6977 -0.1643 2.6491
Ni -7.6469 4.3769 0.7076
Ni 0.0000 0.0000 0.0000
Si -5.4463 0.2346 3.5085
Si -1.7939 1.5676 0.5293
Si -6.3112 0.8415 -1.2197
Si -5.4321 4.7469 1.6029
Cu -7.6939 2.1243 1.6801
Cu -4.0635 -1.0482 0.6088
Cu -2.6989 -2.3153 -2.2897
Cu -1.8326 -2.9231 2.4463



3
Lattice="4.0702 0.0000 0.0000 -2.0351 3.5249 0.0000 0.0000 0.0000 4.2040" Properties=species:S:1:pos:R:3 comment="SrCuNi | Alexandria via LeMat-Bulk | SCAN | PBEsol geometry" ef_mev_per_atom=55 de_polymorph_kcal_per_mol_atoms=0.00 spacegroup="P-6m2, No. 187" pbc="T T T"
Ni 2.0351 1.1750 0.0000
Sr 0.0000 2.3499 2.1020
Cu 0.0000 0.0000 0.0000



Number 1: DFT total energy -73.45 eV per cell, density of states at the Fermi level 7.8 states/eV/cell. Number 2: DFT total energy -62.96 eV per cell, density of states at the Fermi level 1.8 states/eV/cell. Number 3: DFT total energy -510.25 eV per cell, density of states at the Fermi level 22.8 states/eV/cell. Number 4: DFT total energy -61.57 eV per cell, density of states at the Fermi level 2.5 states/eV/cell. Number 5: DFT total energy -51.16 eV per cell, density of states at the Fermi level 2.2 states/eV/cell. Number 6: DFT total energy -87.17 eV per cell, density of states at the Fermi level 6.8 states/eV/cell. Number 7: DFT total energy -66.54 eV per cell, density of states at the Fermi level 2.5 states/eV/cell. Number 8: DFT total energy -66.16 eV per cell, density of states at the Fermi level 1.8 states/eV/cell. Number 9: DFT total energy -164.87 eV per cell, density of states at the Fermi level 3.7 states/eV/cell. Number 10: DFT total energy -135.51 eV per cell, density of states at the Fermi level 3.3 states/eV/cell. Number 11: DFT total energy -495.21 eV per cell, density of states at the Fermi level 22.1 states/eV/cell. Number 12: DFT total energy -53.48 eV per cell, density of states at the Fermi level 1.7 states/eV/cell.